{
  "formula": "FeOsRh2W",
  "functional": "PBE-GGA",
  "state": "relaxed",
  "ef_ev_per_fu": 7.7,
  "cell": [[4.387, 0.000, 0.000], [0.000, 4.372, 0.000], [0.000, 0.000, 4.387]],
  "species": ["Rh", "Rh", "Os", "Fe", "W"],
  "fractional_positions": [[0.000, 0.000, 0.500], [0.500, 0.000, 0.000], [0.000, 0.500, 0.000], [0.000, 0.000, 0.000], [0.500, 0.500, 0.500]]
}



{
  "formula": "BeAlSi2",
  "functional": "PBE-GGA",
  "state": "relaxed",
  "relative_energy_mev_per_atom": 30,
  "e_form_raw_kcal_per_mol_atoms": 7.91,
  "cell": [[3.795, 0.000, 0.000], [0.000, 3.796, 0.000], [0.000, 0.000, 3.689]],
  "species": ["Be", "Si", "Si", "Al"],
  "fractional_positions": [[0.000, 0.500, 0.500], [0.000, 0.000, 0.000], [0.500, 0.500, 0.000], [0.500, 0.000, 0.500]]
}